[1]
MnAsP2 GGA-PBE relaxed; DFT formation energy = 0.08 eV/atom; calculated volume = 60.7 Å³/cell; DOS(E_F) = 1.9 states/eV/f.u.; total moment = 0.00 μB/f.u.
1.0
2.926 0.000 0.000
0.000 2.926 0.000
0.000 0.000 7.096
Mn P As
1 2 1
Direct
0.500 0.500 0.803
0.000 0.000 0.973
0.500 0.500 0.148
0.000 0.000 0.575



[2]
Sr2AlOs GGA-PBE relaxed; DFT formation energy = 0.78 eV/atom; calculated volume = 107.5 Å³/cell; DOS(E_F) = 3.5 states/eV/f.u.; total moment = 0.26 μB/f.u.
1.0
-0.903 10.224 1.075
-2.835 9.167 3.797
0.641 9.441 4.118
Sr Os Al
2 1 1
Direct
0.490 0.490 0.490
0.010 0.010 0.010
0.750 0.750 0.750
0.250 0.250 0.250